[1]
The following is a DFT calculation (PBE) of a relaxed Hf2PaZn crystal.

a = 3.178 Å, b = 3.178 Å, c = 10.040 Å
α = 80.90°, β = 80.90°, γ = 59.99°
Sites, in units of the cell vectors:
Hf (0.077, 0.077, 0.769)
Hf (0.257, 0.257, 0.230)
Pa (0.500, 0.500, 0.501)
Zn (0.667, 0.667, 0.000)

Results
The value obtained for the energy above the most stable polymorph in this dataset is 7 meV/atom. The value obtained for the calculated total energy is -30.76 eV/cell. Its space group is No. 160. Its crystal system is trigonal.

[2]
The following is a DFT calculation (PBE) of a relaxed Hf2Zr3Pa crystal.

a = 6.363 Å, b = 9.375 Å, c = 6.667 Å
α = 79.96°, β = 121.39°, γ = 123.15°
Sites, in units of the cell vectors:
Hf (0.327, 0.672, 0.378)
Hf (0.355, 0.676, 0.878)
Hf (0.645, 0.324, 0.122)
Hf (0.673, 0.328, 0.622)
Zr (0.265, 0.998, 0.745)
Zr (0.735, 0.002, 0.255)
Zr (0.835, 0.652, 0.867)
Zr (0.180, 0.344, 0.615)
Zr (0.820, 0.656, 0.385)
Zr (0.165, 0.348, 0.133)
Pa (0.195, 0.988, 0.215)
Pa (0.805, 0.012, 0.785)

Results
The value obtained for the calculated total energy is -109.26 eV/cell. Its space group is No. 2. Its crystal system is triclinic.

calculated total energy of number 2 (Hf2Zr3Pa)? -109.26 eV/cell